InAg2Pt GGA-PBE relaxed; volume = 17.96 Å³ per atom; symmetry = I-4m2; ΔH_f (0 K) = -0.162 eV per atom
1.0
-2.1886 2.1886 3.7485
2.1886 -2.1886 3.7485
2.1886 2.1886 -3.7485
In Ag Pt
1 2 1
Cartesian
0.0000 0.0000 0.0000
2.1886 0.0000 1.8742
0.0000 0.0000 3.7485
0.0000 2.1886 1.8742

***

ErTh2PaN4 GGA-PBE relaxed; raw total energy = -9.40 eV per atom; volume = 15.96 Å³ per atom; symmetry = P2/m
1.0
6.1177 0.0000 0.0000
0.0000 3.5481 0.0000
-2.0285 0.0000 5.8813
Er Th Pa N
1 2 1 4
Cartesian
0.0000 0.0000 0.0000
-1.0143 1.7740 2.9406
2.0446 0.0000 2.9406
3.0588 1.7740 0.0000
1.0690 1.7740 1.3338
0.0253 0.0000 4.5785
4.0639 0.0000 1.3027
3.0201 1.7740 4.5475